PrEr6Co2: relaxed, GGA-PBE.

Cell: 8.4649 8.4649 8.4649 Å, 112.83 107.99 107.65°
Fractional coordinates of all 18 atoms:
Pr 0.0000 0.0000 0.0000
Pr 0.5000 0.0000 0.5000
Er 0.0116 0.7772 0.2344
Er 0.1881 0.4789 0.2908
Er 0.1881 0.8972 0.7092
Er 0.3181 0.3141 0.6322
Er 0.3181 0.6859 0.0040
Er 0.4572 0.2228 0.2344
Er 0.5428 0.7772 0.7656
Er 0.6819 0.3141 0.9960
Er 0.6819 0.6859 0.3678
Er 0.8119 0.1028 0.2908
Er 0.8119 0.5211 0.7092
Er 0.9884 0.2228 0.7656
Co 0.1124 0.5000 0.6124
Co 0.3381 0.3381 0.0000
Co 0.6619 0.6619 0.0000
Co 0.8876 0.5000 0.3876

Summary:
Size of the total moment: 0.000 μB per formula unit
Energy: -5.21 eV per atom
Crystal system: orthorhombic
Calculated density: 9.00 Mg/m³
Energy of formation: -0.06 eV/atom

Pr2Er3Co2: relaxed, GGA-PBE.

Cell: 6.3787 6.3787 9.0357 Å, 115.59 115.59 33.12°
Fractional coordinates of all 7 atoms:
Pr 0.1692 0.1692 0.3009
Pr 0.8308 0.8308 0.6991
Er 0.3796 0.3796 0.0752
Er 0.5000 0.5000 0.5000
Er 0.6204 0.6204 0.9248
Co 0.1747 0.1747 0.7437
Co 0.8253 0.8253 0.2563

Summary:
Size of the total moment: 0.000 μB per formula unit
Energy: -5.49 eV per atom
Crystal system: monoclinic
Calculated density: 8.35 Mg/m³
Energy of formation: -0.14 eV/atom